No. 1
Computed, not measured: a geometry-optimized Ce8Os3I4Br structure at the PBE-GGA level of DFT.

Unit cell a=14.5645 b=8.4064 c=9.2301 alpha=90.00 beta=121.75 gamma=90.00
Last column: nearest neighbours and their distance in Å.
Space group C2/m (No. 12)
Inequivalent atoms, fractional coordinates:
Ce  0.0245  0.2325  0.3075  2 Os 2.79-2.80, 1 Br 3.00
Ce  0.2285  0.0000  0.6841  3 Os 2.82-2.83
Ce  0.2422  0.5000  0.6917  2 Os 2.79, 1 Br 3.00
Os  0.0000  0.0000  0.5000  6 Ce 2.79-2.83
Os  0.2500  0.2500  0.5000  6 Ce 2.79-2.82
I  0.0000  0.0000  0.0000  6 Ce 3.31
I  0.0000  0.5000  0.0000  6 Ce 3.46-3.49
I  0.2500  0.2500  0.0000  6 Ce 3.47-3.49
Br  0.0000  0.5000  0.5000  6 Ce 3.00


No. 2
Computed, not measured: a geometry-optimized RbCeI2Br6 structure at the PBE-GGA level of DFT.

Unit cell a=6.5154 b=8.2316 c=8.6376 alpha=96.13 beta=99.44 gamma=100.13
Last column: nearest neighbours and their distance in Å.
Space group P1 (No. 1)
Inequivalent atoms, fractional coordinates:
Rb  0.0000  0.0000  0.0000  6 Br 3.56-3.72
Ce  0.5648  0.0753  0.5193  5 Br 2.74-2.91
I  0.4949  0.6454  0.1210  2 Br 2.66-2.90
I  0.9469  0.3637  0.7122  2 Br 2.99-3.29, 1 Ce 3.21
Br  0.2537  0.8001  0.3277  1 I 2.90, 1 Ce 2.91
Br  0.2838  0.2923  0.4802  1 Ce 2.78
Br  0.4563  0.0252  0.8101  1 Ce 2.77
Br  0.6893  0.1772  0.2500  1 Ce 2.75
Br  0.7002  0.5642  0.8919  1 I 2.66
Br  0.8508  0.8711  0.5714  1 Ce 2.74


| no. | E_tot (eV per atom) | uncorrected formation energy (eV/atom) | V (Å³/atom) |
| --- | --- | --- | --- |
| 1 | -6.28 | -0.71 | 30.031 |
| 2 | -3.07 | -1.07 | 44.545 |